Entry 1:
## Na3Tl3CrCl8 (PBE-GGA)

Data for a relaxed structure of Na3Tl3CrCl8.

The structure belongs to space group C2/m (No. 12); the cell edges are 14.233, 8.208 and 8.823 Å and the angles 90.00°, 122.59° and 90.00°. The inequivalent atoms are Na at (0.000, 0.000, 0.000), Na at (0.250, 0.250, 0.000), Tl at (0.000, 0.500, 0.500), Tl at (0.250, 0.250, 0.500), Cr at (0.000, 0.500, 0.000), Cl at (0.010, 0.277, 0.808), Cl at (0.212, 0.500, 0.192) and Cl at (0.236, 0.000, 0.209).

The value obtained for the density of states at the Fermi level is 0.42 states/eV/atom. Its total energy is -3.655 eV/atom. Its density is 3.89 Mg/m³.

=====

Entry 2:
## Li2CaAc2Sn2 (PBE-GGA)

Data for a relaxed structure of Li2CaAc2Sn2.

The structure belongs to space group R-3m (No. 166, hexagonal axes); the cell edges are 4.8676, 4.8676 and 31.7159 Å and the angles 90.00°, 90.00° and 120.00°. The inequivalent atoms are Li at (0.0000, 0.0000, 0.1196), Ca at (0.0000, 0.0000, 0.5000), Ac at (0.0000, 0.0000, 0.3795) and Sn at (0.0000, 0.0000, 0.2277).

The value obtained for the density of states at the Fermi level is 0.85 states/eV/atom. The calculated formation energy is -445.1 meV per atom. Its density is 5.71 Mg/m³.

=====

Entry 3:
## AlCd2Tc (PBE-GGA)

Data for a relaxed structure of AlCd2Tc.

The structure belongs to space group P4/mmm (No. 123); the cell edges are 2.877, 2.877 and 8.964 Å and the angles 90.00°, 90.00° and 90.00°. The inequivalent atoms are Al at (0.000, 0.000, 0.000), Cd at (0.500, 0.500, 0.262) and Tc at (0.000, 0.000, 0.500).

The value obtained for the density of states at the Fermi level is 0.88 states/eV/atom. The calculated formation energy is 407.8 meV per atom. Its density is 7.83 Mg/m³.

=====

Entry 4:
## LiTaGeRuI (PBE-GGA)

Data for a relaxed structure of LiTaGeRuI.

The structure belongs to space group Cm (No. 8); the cell edges are 7.512, 4.334 and 7.483 Å and the angles 90.00°, 90.57° and 90.00°. The inequivalent atoms are Li at (0.000, 0.000, 0.000), Ta at (0.331, 0.000, 0.773), Ge at (0.496, 0.500, 0.620), Ru at (0.163, 0.500, 0.676) and I at (0.335, 0.000, 0.151).

The value obtained for the density of states at the Fermi level is 0.52 states/eV/atom. Its density is 6.66 Mg/m³. The calculation puts the energy above the lowest structure with this stoichiometry at 47 meV per atom.

=====

Entry 5:
## GdMgGe2 (PBE-GGA)

Data for a relaxed structure of GdMgGe2.

The structure belongs to space group P4/mmm (No. 123); the cell edges are 4.521, 4.521 and 4.090 Å and the angles 90.00°, 90.00° and 90.00°. The inequivalent atoms are Gd at (0.000, 0.000, 0.000), Mg at (0.500, 0.500, 0.000) and Ge at (0.000, 0.500, 0.500).

The value obtained for the density of states at the Fermi level is 0.68 states/eV/atom. The calculated formation energy is -490.6 meV per atom. Its density is 6.49 Mg/m³. The calculation puts the energy above the lowest structure with this stoichiometry at 0 meV per atom.

=====

Entry 6:
## Hg4OF2 (PBE-GGA)

Data for a relaxed structure of Hg4OF2.

The structure belongs to space group I4/mmm (No. 139); the cell edges are 4.443, 4.443 and 16.926 Å and the angles 90.00°, 90.00° and 90.00°. The inequivalent atoms are Hg at (0.000, 0.000, 0.239), Hg at (0.000, 0.500, 0.000), O at (0.000, 0.000, 0.500) and F at (0.000, 0.000, 0.084).

The value obtained for the density of states at the Fermi level is 0.02 states/eV/atom. Its total energy is -2.047 eV/atom. Its density is 8.51 Mg/m³.

=====

no.,magnetic moment (μB/cell),V (Å³ per atom)
1,8.00,28.949
2,0.01,30.990
3,0.92,18.556
4,0.00,24.362
5,6.86,20.899
6,0.00,23.870